Record 1
The following is a PBE calculation of a geometry-optimized CsCdSnAs2 structure, from the Alexandria database.

Lattice parameters (Å, degrees): 5.007 7.528 10.230 99.45 90.00 109.42
Element x y z (fractional)
Cs1 0.339 0.677 0.332
Cs2 0.661 0.323 0.668
Cd1 0.665 0.330 0.062
Cd2 0.335 0.670 0.938
Sn1 0.055 0.109 0.187
Sn2 0.945 0.891 0.813
As1 0.396 0.793 0.702
As2 0.604 0.207 0.298
As3 0.132 0.263 0.944
As4 0.868 0.737 0.056

Computed properties:
E_form: -0.250 eV/atom
space-group type: C2/m, No. 12
volume: 35.81 Å³/atom



Record 2
The following is a PBE calculation of a geometry-optimized Be2Te structure, from the Alexandria database.

Lattice parameters (Å, degrees): 4.301 4.301 4.301 60.00 60.00 60.00
Element x y z (fractional)
Be1 0.250 0.250 0.250
Be2 0.750 0.750 0.750
Te1 0.000 0.000 0.000

Computed properties:
formation energy (no corrections): 2.83 eV per formula unit
space-group type: Fm-3m, No. 225
volume: 18.76 Å³/atom



Record 3
The following is a PBE calculation of a geometry-optimized ReAgHg2 structure, from the Alexandria database.

Lattice parameters (Å, degrees): 6.762 5.171 2.885 90.04 64.69 122.32
Element x y z (fractional)
Re1 0.000 0.500 0.500
Hg1 0.000 0.000 0.000
Hg2 0.500 0.000 0.500
Ag1 0.500 0.500 0.000

Computed properties:
E_form: 0.630 eV/atom
space-group type: Cmmm, No. 65
volume: 18.39 Å³/atom



Record 4
The following is a PBE calculation of a geometry-optimized CaSnTe4Pb2 structure, from the Alexandria database.

Lattice parameters (Å, degrees): 4.580 7.949 7.953 70.60 90.00 90.00
Element x y z (fractional)
Ca1 0.000 0.500 0.500
Sn1 0.500 0.500 0.000
Te1 0.000 0.741 0.752
Te2 0.000 0.259 0.248
Te3 0.500 0.741 0.253
Te4 0.500 0.259 0.747
Pb1 0.000 0.000 0.000
Pb2 0.500 0.000 0.500

Computed properties:
formation energy (no corrections): -5.40 eV per formula unit
space-group type: P2/m, No. 10
volume: 34.13 Å³/atom



Record 5
The following is a PBE calculation of a geometry-optimized Rb6CaCl8 structure, from the Alexandria database.

Lattice parameters (Å, degrees): 8.536 8.536 8.536 69.05 69.05 69.05
Site moments in Bohr magnetons follow the coordinates.
Element x y z (fractional)
Rb1 0.061 0.488 0.696  0.00
Rb2 0.304 0.939 0.512  0.00
Rb3 0.512 0.304 0.939  0.00
Rb4 0.488 0.696 0.061  0.00
Rb5 0.696 0.061 0.488  0.00
Rb6 0.939 0.512 0.304  0.00
Ca1 0.000 0.000 0.000  0.00
Cl1 0.160 0.688 0.907  0.01
Cl2 0.093 0.840 0.312  0.01
Cl3 0.312 0.093 0.840  0.01
Cl4 0.658 0.658 0.658  0.08
Cl5 0.342 0.342 0.342  0.08
Cl6 0.688 0.907 0.160  0.01
Cl7 0.907 0.160 0.688  0.01
Cl8 0.840 0.312 0.093  0.01

Computed properties:
formation energy (no corrections): -30.24 eV per formula unit
space-group type: R-3, No. 148
volume: 34.88 Å³/atom



Record 6
The following is a PBE calculation of a geometry-optimized LaIn3Cu structure, from the Alexandria database.

Lattice parameters (Å, degrees): 4.562 9.087 11.690 90.00 90.00 90.00
Element x y z (fractional)
La1 0.750 0.813 0.003
La2 0.250 0.687 0.503
La3 0.750 0.313 0.497
La4 0.250 0.187 0.997
In1 0.250 0.565 0.088
In2 0.750 0.435 0.912
In3 0.250 0.065 0.412
In4 0.750 0.935 0.588
In5 0.250 0.382 0.703
In6 0.750 0.118 0.203
In7 0.250 0.882 0.797
In8 0.750 0.634 0.710
In9 0.250 0.366 0.290
In10 0.750 0.134 0.790
In11 0.750 0.618 0.297
In12 0.250 0.866 0.210
Cu1 0.250 0.099 0.642
Cu2 0.250 0.599 0.858
Cu3 0.750 0.401 0.142
Cu4 0.750 0.901 0.358

Computed properties:
E_form: -0.340 eV/atom
space-group type: Pnma, No. 62
volume: 24.23 Å³/atom



Record 7
The following is a PBE calculation of a geometry-optimized PrSmTmCu structure, from the Alexandria database.

Lattice parameters (Å, degrees): 3.548 3.548 8.747 90.00 90.00 90.00
Element x y z (fractional)
Pr1 0.000 0.000 0.080
Sm1 0.500 0.500 0.766
Tm1 0.500 0.500 0.383
Cu1 0.000 0.000 0.557

Computed properties:
E_form: -0.095 eV/atom
space-group type: P4mm, No. 99
volume: 27.52 Å³/atom



Record 8
The following is a PBE calculation of a geometry-optimized ScCdCo structure, from the Alexandria database.

Lattice parameters (Å, degrees): 3.479 3.703 8.603 90.00 101.66 90.00
Site moments in Bohr magnetons follow the coordinates.
Element x y z (fractional)
Sc1 0.587 0.750 0.174  -0.05
Sc2 0.413 0.250 0.826  -0.05
Cd1 0.799 0.750 0.599  -0.01
Cd2 0.201 0.250 0.401  -0.01
Co1 0.960 0.750 0.920  0.29
Co2 0.040 0.250 0.080  0.29

Computed properties:
E_form: -0.268 eV/atom
space-group type: Cmcm, No. 63
volume: 18.09 Å³/atom



Record 9
The following is a PBE calculation of a geometry-optimized BiCI2N structure, from the Alexandria database.

Lattice parameters (Å, degrees): 8.195 8.195 2.685 90.00 90.00 90.00
Element x y z (fractional)
I1 0.000 0.500 0.000
I2 0.500 0.000 0.000
C1 0.000 0.000 0.000
Bi1 0.500 0.500 0.500
N1 0.000 0.000 0.500

Computed properties:
formation energy (no corrections): 4.64 eV per formula unit
space-group type: P4/mmm, No. 123
volume: 36.06 Å³/atom



Record 10
The following is a PBE calculation of a geometry-optimized Hf3Zn4Cu4 structure, from the Alexandria database.

Lattice parameters (Å, degrees): 2.960 4.280 13.775 81.01 83.80 89.95
Element x y z (fractional)
Hf1 0.142 0.639 0.721
Hf2 0.858 0.361 0.279
Hf3 0.000 0.000 0.000
Zn1 0.594 0.093 0.814
Zn2 0.264 0.264 0.471
Zn3 0.736 0.736 0.528
Zn4 0.406 0.907 0.186
Cu1 0.549 0.546 0.908
Cu2 0.451 0.454 0.092
Cu3 0.313 0.816 0.369
Cu4 0.687 0.184 0.631

Computed properties:
E_form: -0.157 eV/atom
space-group type: P-1, No. 2
volume: 15.57 Å³/atom



Record 11
The following is a PBE calculation of a geometry-optimized SiH3Pd structure, from the Alexandria database.

Lattice parameters (Å, degrees): 3.513 3.513 3.513 90.00 90.00 90.00
Element x y z (fractional)
H1 0.000 0.500 0.000
H2 0.000 0.000 0.500
H3 0.500 0.000 0.000
Si1 0.000 0.000 0.000
Pd1 0.500 0.500 0.500

Computed properties:
uncorrected energy: -3.565 eV per atom
space-group type: Pm-3m, No. 221
volume: 8.67 Å³/atom



Record 12
The following is a PBE calculation of a geometry-optimized Pm3TlTe6 structure, from the Alexandria database.

Lattice parameters (Å, degrees): 7.527 9.834 9.834 102.31 90.00 90.00
Element x y z (fractional)
Pm1 0.489 0.913 0.722
Pm2 0.989 0.722 0.913
Pm3 0.376 0.410 0.590
Pm4 0.876 0.590 0.410
Pm5 0.989 0.087 0.278
Pm6 0.489 0.278 0.087
Tl1 0.008 0.205 0.795
Tl2 0.508 0.795 0.205
Te1 0.178 0.704 0.625
Te2 0.678 0.625 0.704
Te3 0.228 0.450 0.904
Te4 0.728 0.904 0.450
Te5 0.185 0.031 0.969
Te6 0.627 0.226 0.774
Te7 0.127 0.774 0.226
Te8 0.685 0.969 0.031
Te9 0.228 0.096 0.550
Te10 0.728 0.550 0.096
Te11 0.178 0.375 0.296
Te12 0.678 0.296 0.375

Computed properties:
formation energy (no corrections): -10.77 eV per formula unit
space-group type: Cmc2_1, No. 36
volume: 35.55 Å³/atom



Which value of volume does entry 4 give? 34.13 Å³/atom



What is the formula in the ninth record? BiCI2N



Which of these has the highest volume? BiCI2N